1.
An optimized crystal structure of Pr4SnAsS2, computed with PBE.

abc: 4.284 7.396 7.456
angles: 70.43 90.00 90.00
Fractional coordinates of all 8 atoms:
Pr: 0.000 0.763 0.738
Pr: 0.000 0.237 0.262
Pr: 0.500 0.756 0.255
Pr: 0.500 0.244 0.745
Sn: 0.500 0.500 0.000
As: 0.000 0.500 0.500
S: 0.000 0.000 0.000
S: 0.500 0.000 0.500

Computed properties:
D(E_F), states/eV/f.u.: 2.3
Total energy, eV per atom: -6.0470
Crystal system: monoclinic
ΔE_f (raw), eV per atom: -1.54



2.
An optimized crystal structure of CdOs2Rh, computed with PBE.

abc: 7.493 7.493 5.875
angles: 50.38 50.38 90.00
Fractional coordinates of all 8 atoms:
Rh: 0.500 0.500 0.000
Rh: 0.250 0.750 0.500
Os: 0.574 0.125 0.250
Os: 0.176 0.625 0.250
Os: 0.375 0.426 0.750
Os: 0.875 0.824 0.750
Cd: 0.000 0.000 0.000
Cd: 0.750 0.250 0.500

Computed properties:
D(E_F), states/eV/f.u.: 6.8
Total energy, eV per atom: -6.6270
Crystal system: tetragonal
Formation enthalpy at 0 K, kJ per mole of atoms: 102



3.
An optimized crystal structure of KMn2Te4, computed with PBE.

abc: 7.717 7.718 8.604
angles: 109.79 109.74 104.22
Fractional coordinates of all 14 atoms:
K: 0.250 0.750 0.500
K: 0.000 0.000 0.000
Mn: 0.625 0.377 0.750
Mn: 0.627 0.874 0.250
Mn: 0.623 0.376 0.250
Mn: 0.126 0.373 0.750
Te: 0.949 0.222 0.363
Te: 0.303 0.529 0.138
Te: 0.858 0.585 0.637
Te: 0.778 0.052 0.637
Te: 0.415 0.142 0.363
Te: 0.391 0.165 0.862
Te: 0.471 0.697 0.862
Te: 0.835 0.609 0.138

Computed properties:
D(E_F), states/eV/f.u.: 3.1
Total energy, eV per atom: -4.7835
Crystal system: orthorhombic
ΔE_f (raw), eV per atom: -0.21



4.
An optimized crystal structure of Tb4Pm9Hg11, computed with PBE.

abc: 3.596 14.061 14.061
angles: 111.39 90.00 90.00
Fractional coordinates of all 24 atoms:
Tb: 0.500 0.560 0.747
Tb: 0.500 0.440 0.253
Tb: 0.500 0.747 0.560
Tb: 0.500 0.253 0.440
Pm: 0.500 0.628 0.145
Pm: 0.500 0.372 0.855
Pm: 0.500 0.145 0.628
Pm: 0.500 0.855 0.372
Pm: 0.500 0.794 0.962
Pm: 0.500 0.206 0.038
Pm: 0.500 0.962 0.794
Pm: 0.500 0.038 0.206
Pm: 0.500 0.500 0.500
Hg: 0.000 0.585 0.941
Hg: 0.000 0.415 0.059
Hg: 0.000 0.941 0.585
Hg: 0.000 0.059 0.415
Hg: 0.000 0.635 0.365
Hg: 0.000 0.365 0.635
Hg: 0.000 0.831 0.169
Hg: 0.000 0.169 0.831
Hg: 0.000 0.000 0.000
Hg: 0.000 0.743 0.743
Hg: 0.000 0.257 0.257

Computed properties:
D(E_F), states/eV/f.u.: 24.2
Total energy, eV per atom: -3.0739
Crystal system: orthorhombic
Formation enthalpy at 0 K, kJ per mole of atoms: -37